Below is a relaxed structure of SrAl2ZnTc, with properties calculated at the PBE level.

Cell: 4.799 4.799 4.992 Å, 90.00 90.00 90.00°
Element x y z (fractional)
Sr 0.000 0.000 0.000
Al 0.000 0.500 0.500
Al 0.500 0.000 0.500
Zn 0.500 0.500 0.000
Tc 0.500 0.500 0.500

## Properties
Space group: P4/mmm, No. 123
Magnetization in μB/f.u.: 0.00
Energy in eV/cell: -21.69
DOS at the Fermi energy in states/eV/cell: 2.20
DFT formation energy in eV/atom: -0.176